The following is a PBE calculation of a relaxed structure of PrScBiTe, from Alexandria via LeMat-Bulk.

```
PrScBiTe
1.0
4.4035 0.0000 0.0000
2.2018 3.8136 0.0000
2.2018 1.2712 7.2017
Bi Pr Sc Te
1 1 1 1
direct
0.8485 0.8485 0.4545 Bi
0.6070 0.6070 0.1790 Pr
0.1076 0.1076 0.6771 Sc
0.3662 0.3662 0.9013 Te
```

Results
- V (Å³/atom) = 30.2
- M_tot (μB per cell) = 0.0
- energy relative to the elements, uncorrected (eV/atom) = -1.0441
- symmetry = R3m
- DFT total energy (eV/cell) = -22.31
- density (g cm⁻³) = 7.17